# 1
Entry from Alexandria via LeMat-Bulk: a geometry-optimized KLi2Sc structure (GGA-PBEsol).

**Total DFT energy (no corrections)**: -2.530 eV per atom
**Formation enthalpy at 0 K**: 0.388 eV per atom
**Offset from the most stable computed form**: 0.0911 eV/atom
**M_tot**: 0.002 μB/f.u.

Unit cell a=3.2747 b=5.8365 c=5.8365 alpha=90.00 beta=90.00 gamma=90.00
With the nearest neighbours (Å) after each atom.
Sites, in units of the cell vectors:
K: 0.5000 0.0000 0.0000  2 K 3.27, 8 Li 3.35
Li: 0.0000 0.0000 0.5000  2 Li 3.27, 4 K 3.35, 4 Sc 3.35
Li: 0.0000 0.5000 0.0000  2 Li 3.27, 4 K 3.35, 4 Sc 3.35
Sc: 0.5000 0.5000 0.5000  2 Sc 3.27, 8 Li 3.35

=====

# 2
Entry from Alexandria via LeMat-Bulk: a geometry-optimized KLiSc2 structure (GGA-PBEsol).

**Total DFT energy (no corrections)**: -3.582 eV per atom
**Formation enthalpy at 0 K**: 0.495 eV per atom
**Offset from the most stable computed form**: 0.0000 eV/atom
**M_tot**: 0.000 μB/f.u.

Unit cell a=3.2658 b=5.5767 c=7.0123 alpha=113.43 beta=103.47 gamma=90.00
With the nearest neighbours (Å) after each atom.
Sites, in units of the cell vectors:
K: 0.0000 0.5000 0.0000  4 Li 3.23, 2 K 3.27
Li: 0.5000 0.0000 0.0000  4 K 3.23, 2 Li 3.27, 4 Sc 3.32
Sc: 0.7682 0.7682 0.5364  6 Sc 3.26-3.27, 2 Li 3.32
Sc: 0.2318 0.2318 0.4636  6 Sc 3.26-3.27, 2 Li 3.32

=====

# 3
Entry from Alexandria via LeMat-Bulk: a geometry-optimized KLi2Se structure (GGA-PBEsol).

**Total DFT energy (no corrections)**: -2.726 eV per atom
**ΔE_f (raw)**: -0.496 eV/atom
**M_tot**: 0.871 μB/f.u.

Unit cell a=4.5583 b=4.5255 c=4.5255 alpha=90.00 beta=90.00 gamma=90.00
With the nearest neighbours (Å) after each atom.
Sites, in units of the cell vectors:
K: 0.5000 0.0000 0.0000  4 Se 3.20, 8 Li 3.21
Se: 0.5000 0.5000 0.5000  4 K 3.20, 8 Li 3.21
Li: 0.0000 0.0000 0.5000  4 Li 3.20, 4 Se 3.21, 4 K 3.21
Li: 0.0000 0.5000 0.0000  4 Li 3.20, 4 K 3.21, 4 Se 3.21

=====

# 4
Entry from Alexandria via LeMat-Bulk: a geometry-optimized KLi2Se structure (GGA-PBEsol).

**Total DFT energy (no corrections)**: -2.907 eV per atom
**ΔE_f (raw)**: -0.678 eV/atom
**M_tot**: 0.000 μB/f.u.

Unit cell a=3.7500 b=5.6974 c=6.5335 alpha=115.85 beta=106.68 gamma=90.00
With the nearest neighbours (Å) after each atom.
Sites, in units of the cell vectors:
K: 0.0000 0.5000 0.0000  4 Li 3.29, 4 Se 3.41
Se: 0.5000 0.0000 0.0000  4 Li 2.49
Li: 0.8529 0.8529 0.7057  2 Se 2.49
Li: 0.1471 0.1471 0.2943  2 Se 2.49